1.
Compound: ReN2ClF
Source: Alexandria via LeMat-Bulk
Functional: PBE-GGA
Structure: relaxed

Values from the calculation:
- crystal system = tetragonal
- N(E_F) (states/eV/cell) = 2.51
- raw total energy (eV per atom) = -6.31
- V (Å³/atom) = 12.60
- size of the total moment (μB/f.u.) = 0.6
- raw formation energy (eV/atom) = 0.26

Unit cell a=3.912 b=3.912 c=4.118 alpha=90.00 beta=90.00 gamma=90.00
Sites, in units of the cell vectors:
Re  0.000  0.000  0.000
N  0.000  0.500  0.000
N  0.500  0.000  0.000
Cl  0.500  0.500  0.500
F  0.000  0.000  0.500



2.
Compound: CdSb3H
Source: Alexandria via LeMat-Bulk
Functional: PBE-GGA
Structure: relaxed

Values from the calculation:
- crystal system = cubic
- N(E_F) (states/eV/cell) = 4.37
- raw total energy (eV per atom) = -2.15
- V (Å³/atom) = 35.03
- size of the total moment (μB/f.u.) = 1.0

Unit cell a=5.595 b=5.595 c=5.595 alpha=90.00 beta=90.00 gamma=90.00
Sites, in units of the cell vectors:
Cd  0.000  0.000  0.000
Sb  0.000  0.000  0.500
Sb  0.000  0.500  0.000
Sb  0.500  0.000  0.000
H  0.500  0.500  0.500



Q: What is the formula in the first record?
A: ReN2ClF